one:
Below is a relaxed YCdGaW2 crystal, with properties calculated at the PBE level.

For the total magnetization, the calculation gives 0.000 μB/cell. The crystal system is tetragonal. As for the space group: No. 123.

Lattice parameters (Å, degrees): 4.9451 4.9451 5.2876 90.00 90.00 90.00
With the nearest neighbours (Å) after each atom.
Fractional coordinates of all 5 atoms:
Y  0.0000  0.0000  0.0000  2 Cd 2.64
Cd  0.0000  0.0000  0.5000  4 W 2.47, 2 Y 2.64
Ga  0.5000  0.5000  0.0000  4 Y 3.50, 8 W 3.62
W  0.0000  0.5000  0.5000  2 Cd 2.47
W  0.5000  0.0000  0.5000  2 Cd 2.47



two:
Below is a relaxed YCdGaW2 crystal, with properties calculated at the PBE level.

For the total magnetization, the calculation gives 2.072 μB/cell. The crystal system is tetragonal. As for the space group: No. 123.

Lattice parameters (Å, degrees): 4.9926 4.9926 5.2688 90.00 90.00 90.00
With the nearest neighbours (Å) after each atom.
Fractional coordinates of all 5 atoms:
Y  0.0000  0.0000  0.0000  4 W 2.50, 2 Ga 2.63
Cd  0.5000  0.5000  0.5000  4 Ga 3.53, 8 W 3.63
Ga  0.0000  0.0000  0.5000  2 Y 2.63
W  0.0000  0.5000  0.0000  2 Y 2.50
W  0.5000  0.0000  0.0000  2 Y 2.50



Computed stability ranking, most favorable first: one, two